The following is a DFT calculation (PBE) of a geometry-optimized Tb5DyEr structure.

Geometry as extended XYZ:
```
7
Lattice="6.118 0.000 0.000 0.000 7.958 0.000 -3.059 -3.979 5.823" Properties=species:S:1:pos:R:3 pbc="T T T"
Tb -0.400 0.000 2.966
Tb 1.037 3.979 0.000
Tb 2.659 3.979 2.857
Tb 2.648 6.537 0.000
Tb 2.648 1.420 0.000
Dy 5.701 0.000 0.000
Er 4.249 3.979 0.000
```

Computed properties:
D(E_F)	8.37	states/eV/f.u.
distance to the lowest polymorph of the same formula	774	meV per atom
total magnetic moment	0.000	μB/atom
ΔH_f (0 K)	6.7	eV/f.u.
volume	40.5	Å³/atom